Density functional theory data (GGA-PBE) for La3TeN2 after structural relaxation.

```
La3TeN2
1.0
3.7455 0.0000 0.0000
0.0000 11.2794 0.0000
0.0000 0.0000 6.6581
La Te N
6 2 4
Direct
0.0000 0.0923 0.0000 La
0.0000 0.9077 0.5000 La
0.5000 0.1688 0.5259 La
0.5000 0.3869 0.8713 La
0.5000 0.6131 0.3713 La
0.5000 0.8312 0.0259 La
0.0000 0.3689 0.2758 Te
0.0000 0.6311 0.7758 Te
0.0000 0.2597 0.7733 N
0.0000 0.7403 0.2733 N
0.5000 0.0030 0.2724 N
0.5000 0.9970 0.7724 N
```

Values from the calculation:
As for the total magnetization: 0.65 μB/f.u. The value obtained for the total DFT energy (no corrections) is -7.06 eV/atom.

Density functional theory data (GGA-PBE) for La3Te2N2 after structural relaxation.

```
La3Te2N2
1.0
6.8248 0.0000 0.0000
0.0000 7.6320 0.0000
-3.2723 0.0000 7.2772
La Te N
6 4 4
Direct
0.0000 0.0000 0.0000 La
0.0000 0.5000 0.5000 La
0.4025 0.1346 0.7866 La
0.4025 0.3654 0.2866 La
0.5975 0.6346 0.7134 La
0.5975 0.8654 0.2134 La
0.1887 0.6301 0.9186 Te
0.1887 0.8699 0.4186 Te
0.8113 0.1301 0.5814 Te
0.8113 0.3699 0.0814 Te
0.3442 0.1046 0.0687 N
0.3442 0.3954 0.5687 N
0.6558 0.6046 0.4313 N
0.6558 0.8954 0.9313 N
```

Values from the calculation:
As for the total magnetization: 0.69 μB/f.u. The value obtained for the total DFT energy (no corrections) is -6.76 eV/atom.

Density functional theory data (GGA-PBE) for La3TeN2 after structural relaxation.

```
La3TeN2
1.0
-3.4205 5.7203 3.8085
3.4205 -5.7203 3.8085
3.4205 5.7203 -3.8085
La Te N
6 2 4
Direct
0.0000 0.2469 0.2469 La
0.0000 0.7531 0.7531 La
0.5000 0.0000 0.0000 La
0.5000 0.2469 0.7469 La
0.5000 0.5000 0.5000 La
0.5000 0.7531 0.2531 La
0.1247 0.3747 0.7500 Te
0.8753 0.6253 0.2500 Te
0.2584 0.1746 0.0837 N
0.4091 0.8254 0.5837 N
0.5909 0.1746 0.4163 N
0.7416 0.8254 0.9163 N
```

Values from the calculation:
As for the total magnetization: 0.00 μB/f.u. The value obtained for the total DFT energy (no corrections) is -6.91 eV/atom.

Density functional theory data (GGA-PBE) for LaTe2N after structural relaxation.

```
LaTe2N
1.0
4.7619 0.0000 0.0000
-2.3810 4.1240 0.0000
0.0000 0.0000 22.9201
La Te N
3 6 3
Direct
0.0000 0.0000 0.0000 La
0.3333 0.6667 0.6667 La
0.6667 0.3333 0.3333 La
0.0000 0.0000 0.4077 Te
0.0000 0.0000 0.5923 Te
0.3333 0.6667 0.0743 Te
0.3333 0.6667 0.2590 Te
0.6667 0.3333 0.7410 Te
0.6667 0.3333 0.9257 Te
0.0000 0.0000 0.5000 N
0.3333 0.6667 0.1667 N
0.6667 0.3333 0.8333 N
```

Values from the calculation:
As for the total magnetization: 1.81 μB/f.u. The value obtained for the total DFT energy (no corrections) is -4.73 eV/atom.

Q: What is the total DFT energy (no corrections) in the second record?
A: -6.76 eV/atom